A relaxed KAgBr2 crystal. Source: the Alexandria database, functional PBE-GGA.

## Properties
Density = 4.666 g/cm³
Crystal system = cubic
Space-group type = No. 225
VASP energy = -10.7 eV/cell
Formation energy (no corrections) = -19.5 kcal/mol of atoms

Unit cell a=5.365 b=5.365 c=5.365 alpha=60.00 beta=60.00 gamma=60.00
Sites, in units of the cell vectors:
K1 0.000 0.000 0.000
Br1 0.250 0.250 0.250
Br2 0.750 0.750 0.750
Ag1 0.500 0.500 0.500


A relaxed Pm2MnGa4Au3 crystal. Source: the Alexandria database, functional PBE-GGA.

## Properties
Density = 9.978 g/cm³
Crystal system = tetragonal
Space-group type = No. 115
ΔE_f = -5.6 eV per formula unit
VASP energy = -46.2 eV/cell

Unit cell a=4.261 b=4.261 c=11.136 alpha=90.00 beta=90.00 gamma=90.00
Sites, in units of the cell vectors:
Pm1 0.500 0.000 0.255
Pm2 0.000 0.500 0.745
Mn1 0.500 0.500 0.500
Ga1 0.500 0.500 0.000
Ga2 0.000 0.000 0.000
Ga3 0.500 0.000 0.633
Ga4 0.000 0.500 0.367
Au1 0.000 0.000 0.500
Au2 0.500 0.000 0.861
Au3 0.000 0.500 0.139


A relaxed CaY2ScHg4 crystal. Source: the Alexandria database, functional PBE-GGA.

## Properties
Density = 8.853 g/cm³
Crystal system = trigonal
Space-group type = No. 166
ΔE_f = -4.0 eV per formula unit
VASP energy = -26.5 eV/cell

Unit cell a=5.207 b=5.207 c=9.023 alpha=73.23 beta=73.23 gamma=60.00
Sites, in units of the cell vectors:
Ca1 0.000 0.000 0.000
Y1 0.750 0.750 0.750
Y2 0.250 0.250 0.250
Sc1 0.500 0.500 0.500
Hg1 0.379 0.379 0.863
Hg2 0.873 0.873 0.382
Hg3 0.127 0.127 0.618
Hg4 0.621 0.621 0.137


A relaxed ThMnSe4 crystal. Source: the Alexandria database, functional PBE-GGA.

## Properties
Density = 7.032 g/cm³
Crystal system = orthorhombic
Space-group type = No. 53
VASP energy = -72.2 eV/cell
Formation energy (no corrections) = -21.4 kcal/mol of atoms

Unit cell a=5.563 b=7.595 c=6.738 alpha=90.00 beta=90.01 gamma=90.00
Sites, in units of the cell vectors:
Th1 0.000 0.000 0.000
Th2 0.500 0.500 0.000
Mn1 0.500 0.000 0.500
Mn2 0.000 0.500 0.500
Se1 0.000 0.642 0.175
Se2 0.500 0.142 0.825
Se3 0.250 0.250 0.319
Se4 0.250 0.750 0.681
Se5 0.000 0.358 0.825
Se6 0.500 0.858 0.175
Se7 0.750 0.750 0.681
Se8 0.750 0.250 0.319


A relaxed LaThSc2 crystal. Source: the Alexandria database, functional PBE-GGA.

## Properties
Density = 6.550 g/cm³
Energy above the lowest structure with this stoichiometry = 18.2 meV/atom
Crystal system = orthorhombic
Space-group type = No. 65
ΔE_f = 0.2 eV per formula unit
VASP energy = -24.8 eV/cell

Unit cell a=3.615 b=5.748 c=5.748 alpha=101.99 beta=90.00 gamma=90.00
Sites, in units of the cell vectors:
La1 0.500 0.500 0.500
Th1 0.500 0.000 0.000
Sc1 0.000 0.500 0.000
Sc2 0.000 0.000 0.500


A relaxed NdYAlHg crystal. Source: the Alexandria database, functional PBE-GGA.

## Properties
Density = 7.263 g/cm³
Energy above the lowest structure with this stoichiometry = 38.0 meV/atom
Crystal system = cubic
Space-group type = No. 216
ΔE_f = -1.6 eV per formula unit
VASP energy = -16.9 eV/cell

Unit cell a=5.301 b=5.301 c=5.301 alpha=60.00 beta=60.00 gamma=60.00
Sites, in units of the cell vectors:
Y1 0.750 0.750 0.750
Nd1 0.250 0.250 0.250
Hg1 0.500 0.500 0.500
Al1 0.000 0.000 0.000